AcPt2O6: optimized geometry, PBE-GGA.

## Properties
The calculation puts the energy at -6.43 eV/atom. The magnetization comes out at 0.075 μB per cell.

a b c (Å): 5.3247 5.3247 5.2182
angles (deg): 90.00 90.00 120.00
With the nearest neighbours (Å) after each atom.
Fractional positions:
1 Ac 0.0000 0.0000 0.0000  6 O 2.48
2 Pt 0.3333 0.6667 0.5000  6 O 2.01
3 Pt 0.6667 0.3333 0.5000  6 O 2.01
4 O 0.0000 0.3698 0.7106  2 Pt 2.01
5 O 0.0000 0.6302 0.2894  2 Pt 2.01
6 O 0.3698 0.0000 0.7106  2 Pt 2.01
7 O 0.3698 0.3698 0.2894  2 Pt 2.01
8 O 0.6302 0.0000 0.2894  2 Pt 2.01
9 O 0.6302 0.6302 0.7106  2 Pt 2.01

SrTmRe: optimized geometry, PBE-GGA.

## Properties
The calculation puts the energy at -4.76 eV/atom. The magnetization comes out at 1.183 μB per cell.

a b c (Å): 4.9401 4.9401 4.9401
angles (deg): 60.00 60.00 60.00
With the nearest neighbours (Å) after each atom.
Fractional positions:
1 Sr 0.0000 0.0000 0.0000  4 Tm 3.03
2 Tm 0.7500 0.7500 0.7500  4 Re 3.03, 4 Sr 3.03
3 Re 0.5000 0.5000 0.5000  4 Tm 3.03

AlNi2Pt2: optimized geometry, PBE-GGA.

## Properties
The calculation puts the energy at -5.28 eV/atom. The magnetization comes out at 1.583 μB per cell.

a b c (Å): 6.1853 6.1853 6.1853
angles (deg): 145.26 145.26 49.94
With the nearest neighbours (Å) after each atom.
Fractional positions:
1 Al 0.0000 0.0000 0.0000  8 Ni 2.83
2 Ni 0.4034 0.4034 0.0000  1 Ni 2.17
3 Ni 0.5966 0.5966 0.0000  1 Ni 2.17
4 Pt 0.2500 0.7500 0.5000  4 Ni 2.52, 4 Pt 2.61
5 Pt 0.7500 0.2500 0.5000  4 Ni 2.52, 4 Pt 2.61

AcNi: optimized geometry, PBE-GGA.

## Properties
The energy of formation from the pure elements comes out at 0.1309 eV/atom. The magnetization comes out at 0.000 μB per cell.

a b c (Å): 3.6814 3.6814 4.1403
angles (deg): 90.00 90.00 120.00
With the nearest neighbours (Å) after each atom.
Fractional positions:
1 Ac 0.0000 0.0000 0.0000  6 Ni 2.97
2 Ni 0.6667 0.3333 0.5000  6 Ac 2.97

FeGe2Au: optimized geometry, PBE-GGA.

## Properties
The calculation puts the energy at -4.82 eV/atom. The magnetization comes out at 3.090 μB per cell.

a b c (Å): 4.5778 4.5778 4.5778
angles (deg): 60.00 60.00 60.00
With the nearest neighbours (Å) after each atom.
Fractional positions:
1 Fe 0.0000 0.0000 0.0000  4 Au 2.80, 4 Ge 2.80
2 Ge 0.2500 0.2500 0.2500  4 Ge 2.80, 4 Fe 2.80
3 Ge 0.5000 0.5000 0.5000  4 Ge 2.80, 4 Au 2.80
4 Au 0.7500 0.7500 0.7500  4 Ge 2.80, 4 Fe 2.80

BaCoCuW: optimized geometry, PBE-GGA.

## Properties
The calculation puts the energy at -5.17 eV/atom. The magnetization comes out at 3.372 μB per cell.

a b c (Å): 4.7970 4.7970 4.7970
angles (deg): 60.00 60.00 60.00
With the nearest neighbours (Å) after each atom.
Fractional positions:
1 Ba 0.0000 0.0000 0.0000  4 Co 2.94, 4 Cu 2.94
2 Co 0.7500 0.7500 0.7500  4 W 2.94, 4 Ba 2.94
3 Cu 0.2500 0.2500 0.2500  4 W 2.94, 4 Ba 2.94
4 W 0.5000 0.5000 0.5000  4 Co 2.94, 4 Cu 2.94

SrIn5PdPt: optimized geometry, PBE-GGA.

## Properties
The calculation puts the energy at -3.81 eV/atom. The magnetization comes out at 0.001 μB per cell.

a b c (Å): 7.1234 7.1234 7.1234
angles (deg): 144.21 110.10 81.09
With the nearest neighbours (Å) after each atom.
Fractional positions:
1 Sr 0.0000 0.0000 0.0000  2 Pt 3.48, 2 Pd 3.54, 8 In 3.68-3.71
2 In 0.1492 0.3448 0.8044  1 Pd 2.72, 2 Pt 2.90
3 In 0.4524 0.6477 0.8047  1 Pt 2.72, 2 Pd 2.90
4 In 0.4981 0.9981 0.5000  1 Pd 2.65, 1 Pt 2.68
5 In 0.5404 0.3448 0.1956  1 Pd 2.72, 2 Pt 2.90
6 In 0.8430 0.6477 0.1953  1 Pt 2.72, 2 Pd 2.90
7 Pd 0.7433 0.2433 0.5000  7 In 2.65-2.90
8 Pt 0.2505 0.7505 0.5000  7 In 2.68-2.90

TeW2Br2: optimized geometry, PBE-GGA.

## Properties
The calculation puts the energy at -6.18 eV/atom. The magnetization comes out at 0.002 μB per cell.

a b c (Å): 3.1926 5.6823 6.6266
angles (deg): 83.91 76.43 88.12
With the nearest neighbours (Å) after each atom.
Fractional positions:
1 Te 0.0000 0.0000 0.0000  2 W 2.79
2 W 0.1957 0.1404 0.5725  2 W 2.45-2.54, 1 Br 2.55
3 W 0.8040 0.8617 0.4275  2 W 2.45-2.54, 1 Br 2.55
4 Br 0.3417 0.4687 0.2712  1 W 2.55
5 Br 0.6597 0.5333 0.7289  1 W 2.55

PrNdAl2Pt4: optimized geometry, PBE-GGA.

## Properties
The calculation puts the energy at -6.25 eV/atom. The magnetization comes out at 0.002 μB per cell.

a b c (Å): 4.3860 4.3860 9.7309
angles (deg): 90.00 90.00 120.00
With the nearest neighbours (Å) after each atom.
Fractional positions:
1 Pr 0.0000 0.0000 0.0000  8 Pt 3.08-3.16
2 Nd 0.3333 0.6667 0.5000  8 Pt 3.06-3.12
3 Al 0.6667 0.3333 0.2514  6 Pt 2.63
4 Al 0.6667 0.3333 0.7486  6 Pt 2.63
5 Pt 0.0000 0.0000 0.3243  3 Al 2.63, 3 Pt 2.90
6 Pt 0.0000 0.0000 0.6757  3 Al 2.63, 3 Pt 2.90
7 Pt 0.3333 0.6667 0.1794  3 Al 2.63, 3 Pt 2.90
8 Pt 0.3333 0.6667 0.8206  3 Al 2.63, 3 Pt 2.90

LuTlSnTe3: optimized geometry, PBE-GGA.

## Properties
The calculation puts the energy at -3.98 eV/atom. The magnetization comes out at 0.023 μB per cell.

a b c (Å): 8.1656 8.1656 12.1130
angles (deg): 90.00 90.00 146.95
With the nearest neighbours (Å) after each atom.
Fractional positions:
1 Lu 0.0325 0.9675 0.7500  4 Te 2.85-2.92
2 Lu 0.9675 0.0325 0.2500  4 Te 2.85-2.92
3 Tl 0.2605 0.7395 0.2500  6 Te 3.62-3.65, 2 Lu 3.99
4 Tl 0.7395 0.2605 0.7500  6 Te 3.62-3.65, 2 Lu 3.99
5 Sn 0.5000 0.5000 0.0000  6 Te 3.28
6 Sn 0.5000 0.5000 0.5000  6 Te 3.28
7 Te 0.1401 0.8599 0.5606  1 Lu 2.85
8 Te 0.1401 0.8599 0.9394  1 Lu 2.85
9 Te 0.4193 0.5807 0.7500  2 Lu 2.92
10 Te 0.5807 0.4193 0.2500  2 Lu 2.92
11 Te 0.8599 0.1401 0.0606  1 Lu 2.85
12 Te 0.8599 0.1401 0.4394  1 Lu 2.85

Dy3Bi2Se: optimized geometry, PBE-GGA.

## Properties
The calculation puts the energy at -5.38 eV/atom. The magnetization comes out at 0.003 μB per cell.

a b c (Å): 4.3334 4.3334 10.6152
angles (deg): 90.00 90.00 120.00
With the nearest neighbours (Å) after each atom.
Fractional positions:
1 Dy 0.0000 0.0000 0.0000  6 Bi 3.12
2 Dy 0.3333 0.6667 0.6478  3 Se 2.95, 3 Bi 3.12
3 Dy 0.6667 0.3333 0.3522  3 Se 2.95, 3 Bi 3.12
4 Bi 0.3333 0.6667 0.1763  6 Dy 3.12
5 Bi 0.6667 0.3333 0.8237  6 Dy 3.12
6 Se 0.0000 0.0000 0.5000  6 Dy 2.95

NpReTe: optimized geometry, PBE-GGA.

## Properties
The calculation puts the energy at -9.08 eV/atom. The magnetization comes out at 3.193 μB per cell.

a b c (Å): 4.6319 4.6319 4.6319
angles (deg): 60.00 60.00 60.00
With the nearest neighbours (Å) after each atom.
Fractional positions:
1 Np 0.0000 0.0000 0.0000  4 Re 2.84
2 Re 0.7500 0.7500 0.7500  4 Te 2.84, 4 Np 2.84
3 Te 0.5000 0.5000 0.5000  4 Re 2.84

Sr2LuIrO6: optimized geometry, PBE-GGA.

## Properties
The calculation puts the energy at -7.05 eV/atom. The magnetization comes out at 4.000 μB per cell.

a b c (Å): 5.7337 5.7362 9.9206
angles (deg): 90.00 125.14 90.00
With the nearest neighbours (Å) after each atom.
Fractional positions:
1 Sr 0.2450 0.0267 0.2500  7 O 2.55-2.84
2 Sr 0.2450 0.4733 0.7500  7 O 2.55-2.84
3 Sr 0.7550 0.5267 0.2500  7 O 2.55-2.84
4 Sr 0.7550 0.9733 0.7500  7 O 2.55-2.84
5 Lu 0.5000 0.0000 0.0000  6 O 2.15
6 Lu 0.5000 0.5000 0.5000  6 O 2.15
7 Ir 0.0000 0.0000 0.5000  6 O 1.98
8 Ir 0.0000 0.5000 0.0000  6 O 1.98
9 O 0.1723 0.2274 0.9665  1 Ir 1.98, 1 Lu 2.15
10 O 0.1723 0.2726 0.4665  1 Ir 1.98, 1 Lu 2.15
11 O 0.2389 0.7072 0.9674  1 Ir 1.98, 1 Lu 2.15
12 O 0.2389 0.7928 0.4674  1 Ir 1.98, 1 Lu 2.15
13 O 0.3021 0.0123 0.7392  1 Ir 1.98, 1 Lu 2.15
14 O 0.3021 0.4877 0.2392  1 Ir 1.98, 1 Lu 2.15
15 O 0.6979 0.5123 0.7608  1 Ir 1.98, 1 Lu 2.15
16 O 0.6979 0.9877 0.2608  1 Ir 1.98, 1 Lu 2.15
17 O 0.7611 0.2072 0.5326  1 Ir 1.98, 1 Lu 2.15
18 O 0.7611 0.2928 0.0326  1 Ir 1.98, 1 Lu 2.15
19 O 0.8277 0.7274 0.5335  1 Ir 1.98, 1 Lu 2.15
20 O 0.8277 0.7726 0.0335  1 Ir 1.98, 1 Lu 2.15

SmFeCu: optimized geometry, PBE-GGA.

## Properties
The energy of formation from the pure elements comes out at 0.3967 eV/atom. The magnetization comes out at 1.960 μB per cell.

a b c (Å): 4.4545 4.4545 4.4545
angles (deg): 60.00 60.00 60.00
With the nearest neighbours (Å) after each atom.
Fractional positions:
1 Sm 0.0000 0.0000 0.0000  4 Cu 2.73
2 Fe 0.5000 0.5000 0.5000  4 Cu 2.73
3 Cu 0.7500 0.7500 0.7500  4 Sm 2.73, 4 Fe 2.73

NaFeB4: optimized geometry, PBE-GGA.

## Properties
The calculation puts the energy at -6.04 eV/atom. The magnetization comes out at 2.282 μB per cell.

a b c (Å): 2.9830 2.9830 7.2904
angles (deg): 90.00 90.00 120.00
With the nearest neighbours (Å) after each atom.
Fractional positions:
1 Na 0.0000 0.0000 0.0000  12 B 2.76, 6 Na 2.98
2 Fe 0.0000 0.0000 0.5000  12 B 2.27
3 B 0.3333 0.6667 0.2963  3 B 1.72
4 B 0.3333 0.6667 0.7037  3 B 1.72
5 B 0.6667 0.3333 0.2963  3 B 1.72
6 B 0.6667 0.3333 0.7037  3 B 1.72

Y2GaTcC: optimized geometry, PBE-GGA.

## Properties
The calculation puts the energy at -7.52 eV/atom. The magnetization comes out at 0.005 μB per cell.

a b c (Å): 4.9244 4.9244 3.9744
angles (deg): 90.00 90.00 90.00
With the nearest neighbours (Å) after each atom.
Fractional positions:
1 Y 0.0000 0.5000 0.0000  2 C 2.46
2 Y 0.5000 0.0000 0.0000  2 C 2.46
3 Ga 0.0000 0.0000 0.5000  8 Y 3.16, 4 Tc 3.48
4 Tc 0.5000 0.5000 0.5000  2 C 1.99
5 C 0.5000 0.5000 0.0000  2 Tc 1.99

PmSmAl: optimized geometry, PBE-GGA.

## Properties
The calculation puts the energy at -3.91 eV/atom. The magnetization comes out at 0.820 μB per cell.

a b c (Å): 5.1128 5.1128 5.1128
angles (deg): 60.00 60.00 60.00
With the nearest neighbours (Å) after each atom.
Fractional positions:
1 Pm 0.0000 0.0000 0.0000  4 Sm 3.13
2 Sm 0.7500 0.7500 0.7500  4 Al 3.13, 4 Pm 3.13
3 Al 0.5000 0.5000 0.5000  4 Sm 3.13

TbEr3Si4: optimized geometry, PBE-GGA.

## Properties
The calculation puts the energy at -5.83 eV/atom. The magnetization comes out at 0.010 μB per cell.

a b c (Å): 5.6614 3.8176 7.8519
angles (deg): 90.00 90.08 90.00
With the nearest neighbours (Å) after each atom.
Fractional positions:
1 Tb 0.0000 0.0000 0.0000  7 Si 2.94-3.15
2 Er 0.2709 0.0000 0.5002  7 Si 2.92-3.14
3 Er 0.5004 0.5000 0.1423  7 Si 2.93-3.15
4 Er 0.7707 0.5000 0.6415  7 Si 2.92-3.13
5 Si 0.0164 0.5000 0.2842  2 Si 2.49
6 Si 0.2564 0.5000 0.7812  2 Si 2.48
7 Si 0.5159 0.0000 0.8587  2 Si 2.48
8 Si 0.7551 0.0000 0.3603  2 Si 2.49

CoSiAs2: optimized geometry, PBE-GGA.

## Properties
The calculation puts the energy at -4.95 eV/atom. The magnetization comes out at 0.789 μB per cell.

a b c (Å): 4.4321 4.4321 4.4321
angles (deg): 60.00 60.00 60.00
With the nearest neighbours (Å) after each atom.
Fractional positions:
1 Co 0.0000 0.0000 0.0000  4 As 2.71, 4 Si 2.71
2 Si 0.7500 0.7500 0.7500  4 As 2.71, 4 Co 2.71
3 As 0.2500 0.2500 0.2500  4 As 2.71, 4 Co 2.71
4 As 0.5000 0.5000 0.5000  4 Si 2.71, 4 As 2.71

KCuSn: optimized geometry, PBE-GGA.

## Properties
The calculation puts the energy at -2.60 eV/atom.

a b c (Å): 4.9413 4.9413 4.9413
angles (deg): 60.00 60.00 60.00
With the nearest neighbours (Å) after each atom.
Fractional positions:
1 K 0.0000 0.0000 0.0000  4 Cu 3.03
2 Cu 0.2500 0.2500 0.2500  4 Sn 3.03, 4 K 3.03
3 Sn 0.5000 0.5000 0.5000  4 Cu 3.03